Entry 1:
This record from the Alexandria database describes crystalline GaBi3B at its relaxed geometry. The functional is PBE.

Geometry as POSCAR:
```
GaBi3B
1.0
5.114 0.000 0.000
0.000 5.114 0.000
0.000 0.000 5.114
B Bi Ga
1 3 1
Direct
0.000 0.000 0.000
0.000 0.500 0.000
0.000 0.000 0.500
0.500 0.000 0.000
0.500 0.500 0.500
```

Calculated values
- total DFT energy (no corrections) (eV per atom) = -3.5549
- calculated formation energy (meV per atom) = 714.5
- polymorph energy (0 for the lowest one) (meV/atom) = 0.0
- space group = No. 221

***

Entry 2:
This record from the Alexandria database describes crystalline KSi2Au2 at its relaxed geometry. The functional is PBE.

Geometry as POSCAR:
```
KSi2Au2
1.0
-1.039 1.351 -4.190
-1.100 -4.248 -1.097
-5.821 -0.593 -1.190
K Au Si
1 2 2
Direct
0.000 0.000 0.000
0.750 0.250 0.500
0.250 0.750 0.500
0.378 0.378 0.244
0.622 0.622 0.756
```

Calculated values
- total DFT energy (no corrections) (eV per atom) = -3.8177
- energy relative to the elements, uncorrected (eV/atom) = -0.118
- polymorph energy (0 for the lowest one) (meV/atom) = 0.0
- space group = No. 139

***

Entry 3:
This record from the Alexandria database describes crystalline BaCoSe2 at its relaxed geometry. The functional is PBE.

Geometry as POSCAR:
```
BaCoSe2
1.0
4.756 0.000 0.000
0.000 4.603 -0.112
0.000 0.122 5.008
Ba Co Se
1 1 2
Direct
0.000 0.500 0.395
0.500 0.000 0.839
0.000 0.000 0.900
0.500 0.000 0.366
```

Calculated values
- total DFT energy (no corrections) (eV per atom) = -4.8087
- energy relative to the elements, uncorrected (eV/atom) = -0.809
- space group = No. 25

***

What did the third record say?
This record from the Alexandria database describes crystalline BaCoSe2 at its relaxed geometry. The functional is PBE.

Geometry as POSCAR:
```
BaCoSe2
1.0
4.756 0.000 0.000
0.000 4.603 -0.112
0.000 0.122 5.008
Ba Co Se
1 1 2
Direct
0.000 0.500 0.395
0.500 0.000 0.839
0.000 0.000 0.900
0.500 0.000 0.366
```

Calculated values
- total DFT energy (no corrections) (eV per atom) = -4.8087
- energy relative to the elements, uncorrected (eV/atom) = -0.809
- space group = No. 25